PaSnWO6, relaxed, DFT PBE with a Hubbard U; size of the total moment = 1.006 μB per formula unit; calculated density = 7.351 Mg/m³; total DFT energy (no corrections) = -143.65 eV for the cell shown
1.0
5.7067 0.0000 0.0000
-2.8534 4.9422 0.0000
0.0000 0.0000 10.0851
Pa Sn W O
2 2 2 12
Cartesian
0.0000 3.2948 2.5213
2.8534 1.6474 7.5638
0.0000 0.0000 0.0000
0.0000 0.0000 5.0425
0.0000 3.2948 7.5638
2.8534 1.6474 2.5213
-0.9533 1.8654 6.4965
-1.7146 3.1839 8.6311
0.9533 1.8654 8.6311
-0.7612 4.8351 6.4965
2.0921 0.1071 1.4539
1.1388 1.7583 3.5886
1.7146 3.1839 6.4965
0.7612 4.8351 8.6311
3.6146 0.1071 3.5886
1.9000 3.0768 1.4539
4.5679 1.7583 1.4539
3.8067 3.0768 3.5886